Entry 1:
Below is a geometry-optimized K2TaBr structure, with properties calculated at the PBE-GGA level.

Lattice parameters (Å, degrees): 3.3281 6.2148 12.9208 90.00 90.00 90.00
Last column: nearest neighbours and their distance in Å.
Fractional coordinates of all 8 atoms:
K1 0.0000 0.0000 0.0000  2 K 3.33, 4 Br 3.57
K2 0.0000 0.5000 0.1913  2 K 3.33, 2 Br 3.44
K3 0.5000 0.0000 0.6913  2 K 3.33, 2 Br 3.44
K4 0.5000 0.5000 0.5000  2 K 3.33, 4 Br 3.57
Ta1 0.0000 0.5000 0.7878  2 Br 2.76
Ta2 0.5000 0.0000 0.2878  2 Br 2.76
Br1 0.0000 0.0000 0.4586  2 Ta 2.76
Br2 0.5000 0.5000 0.9586  2 Ta 2.76

Computed properties:
total energy	-0.125	Ha/atom
SG	Imm2, No. 44
volume	267.3	Å³ per cell
magnetization	3.0	μB/f.u.



Entry 2:
Below is a geometry-optimized K2TaBr5 structure, with properties calculated at the PBE-GGA level.

Lattice parameters (Å, degrees): 8.0672 8.0672 9.2895 90.00 90.00 90.00
Last column: nearest neighbours and their distance in Å.
Fractional coordinates of all 16 atoms:
K1 0.0000 0.5000 0.0000  10 Br 3.66-4.07
K2 0.0000 0.5000 0.5000  10 Br 3.66-4.07
K3 0.5000 0.0000 0.0000  10 Br 3.66-4.07
K4 0.5000 0.0000 0.5000  10 Br 3.66-4.07
Ta1 0.0000 0.0000 0.2965  5 Br 2.45-2.61
Ta2 0.5000 0.5000 0.7965  5 Br 2.45-2.61
Br1 0.0000 0.0000 0.5602  1 Ta 2.45
Br2 0.2250 0.2250 0.2454  1 Ta 2.61
Br3 0.2250 0.7750 0.2454  1 Ta 2.61
Br4 0.2750 0.2750 0.7454  1 Ta 2.61
Br5 0.2750 0.7250 0.7454  1 Ta 2.61
Br6 0.5000 0.5000 0.0602  1 Ta 2.45
Br7 0.7250 0.2750 0.7454  1 Ta 2.61
Br8 0.7250 0.7250 0.7454  1 Ta 2.61
Br9 0.7750 0.2250 0.2454  1 Ta 2.61
Br10 0.7750 0.7750 0.2454  1 Ta 2.61

Computed properties:
total energy	-0.143	Ha/atom
SG	I4mm, No. 107
volume	604.5	Å³ per cell
magnetization	2.0	μB/f.u.



Entry 3:
Below is a geometry-optimized K2TaBr structure, with properties calculated at the PBE-GGA level.

Lattice parameters (Å, degrees): 4.6864 4.7106 11.2161 90.00 90.00 90.00
Last column: nearest neighbours and their distance in Å.
Fractional coordinates of all 8 atoms:
K1 0.0000 0.0000 0.0000  4 K 3.32
K2 0.0000 0.5000 0.3687  4 K 3.32, 4 Br 3.42
K3 0.5000 0.0000 0.3687  4 K 3.32, 4 Br 3.42
K4 0.5000 0.5000 0.0000  4 K 3.32
Ta1 0.0000 0.5000 0.7392  4 Br 2.88-2.89
Ta2 0.5000 0.0000 0.7392  4 Br 2.88-2.89
Br1 0.0000 0.0000 0.5904  4 Ta 2.88-2.89
Br2 0.5000 0.5000 0.5904  4 Ta 2.88-2.89

Computed properties:
total energy	-0.124	Ha/atom
SG	Cmm2, No. 35
volume	247.6	Å³ per cell
magnetization	0.5	μB/f.u.



Entry 4:
Below is a geometry-optimized K2Ta2Br structure, with properties calculated at the PBE-GGA level.

Lattice parameters (Å, degrees): 10.5800 10.5800 3.1832 90.00 90.00 90.00
Last column: nearest neighbours and their distance in Å.
Fractional coordinates of all 10 atoms:
K1 0.2104 0.2896 0.0000  2 K 3.18
K2 0.2896 0.7896 0.0000  2 K 3.18
K3 0.7104 0.2104 0.0000  2 K 3.18
K4 0.7896 0.7104 0.0000  2 K 3.18
Ta1 0.0759 0.5759 0.5000  1 Ta 2.27
Ta2 0.4241 0.0759 0.5000  1 Ta 2.27
Ta3 0.5759 0.9241 0.5000  1 Ta 2.27
Ta4 0.9241 0.4241 0.5000  1 Ta 2.27
Br1 0.0000 0.0000 0.5000  2 Br 3.18
Br2 0.5000 0.5000 0.5000  2 Br 3.18

Computed properties:
total energy	-0.163	Ha/atom
SG	P4/mbm, No. 127
volume	356.3	Å³ per cell
magnetization	0.0	μB/f.u.



Entry 5:
Below is a geometry-optimized K2TaBr structure, with properties calculated at the PBE-GGA level.

Lattice parameters (Å, degrees): 5.9324 3.4207 11.4532 90.00 99.86 90.00
Last column: nearest neighbours and their distance in Å.
Fractional coordinates of all 8 atoms:
K1 0.2372 0.0000 0.2117  3 Br 3.10, 6 K 3.42
K2 0.2628 0.5000 0.7883  3 Br 3.10, 6 K 3.42
K3 0.7372 0.5000 0.2117  3 Br 3.10, 6 K 3.42
K4 0.7628 0.0000 0.7883  3 Br 3.10, 6 K 3.42
Ta1 0.0000 0.0000 0.5000  6 Ta 3.42, 6 K 3.80-3.81
Ta2 0.5000 0.5000 0.5000  6 Ta 3.42, 6 K 3.80-3.81
Br1 0.0000 0.5000 0.0000  6 K 3.10, 6 Br 3.42
Br2 0.5000 0.0000 0.0000  6 K 3.10, 6 Br 3.42

Computed properties:
total energy	-0.131	Ha/atom
SG	C2/m, No. 12
volume	229.0	Å³ per cell
magnetization	0.5	μB/f.u.



Entry 6:
Below is a geometry-optimized K2Ta3Br9 structure, with properties calculated at the PBE-GGA level.

Lattice parameters (Å, degrees): 10.3864 10.3864 10.3466 102.51 102.51 117.95
Last column: nearest neighbours and their distance in Å.
Fractional coordinates of all 28 atoms:
K1 0.0495 0.7298 0.6655  4 Br 3.24-3.34
K2 0.2702 0.9505 0.3345  4 Br 3.24-3.34
K3 0.7298 0.0495 0.6655  4 Br 3.24-3.34
K4 0.9505 0.2702 0.3345  4 Br 3.24-3.34
Ta1 0.2926 0.4572 0.8667  5 Br 2.62-2.89, 2 Ta 2.93
Ta2 0.3810 0.3810 0.1154  5 Br 2.62-2.83, 2 Ta 2.93
Ta3 0.4572 0.2926 0.8667  5 Br 2.62-2.89, 2 Ta 2.93
Ta4 0.5428 0.7074 0.1333  5 Br 2.62-2.89, 2 Ta 2.93
Ta5 0.6190 0.6190 0.8846  5 Br 2.62-2.83, 2 Ta 2.93
Ta6 0.7074 0.5428 0.1333  5 Br 2.62-2.89, 2 Ta 2.93
Br1 0.0040 0.3962 0.6789  1 Ta 2.89
Br2 0.0944 0.3010 0.9780  2 Ta 2.63
Br3 0.1866 0.1866 0.6691  2 Ta 2.63
Br4 0.2186 0.2186 0.2719  1 Ta 2.83
Br5 0.2950 0.7050 0.0000  2 Ta 2.63
Br6 0.3010 0.0944 0.9780  2 Ta 2.63
Br7 0.3889 0.5927 0.6914  2 Ta 2.62
Br8 0.3962 0.0040 0.6789  1 Ta 2.89
Br9 0.4073 0.6111 0.3086  2 Ta 2.62
Br10 0.5927 0.3889 0.6914  2 Ta 2.62
Br11 0.6038 0.9960 0.3211  1 Ta 2.89
Br12 0.6111 0.4073 0.3086  2 Ta 2.62
Br13 0.6990 0.9056 0.0220  2 Ta 2.63
Br14 0.7050 0.2950 0.0000  2 Ta 2.63
Br15 0.7814 0.7814 0.7281  1 Ta 2.83
Br16 0.8134 0.8134 0.3309  2 Ta 2.63
Br17 0.9056 0.6990 0.0220  2 Ta 2.63
Br18 0.9960 0.6038 0.3211  1 Ta 2.89

Computed properties:
total energy	-0.180	Ha/atom
SG	C2/m, No. 12
volume	894.7	Å³ per cell
magnetization	0.0	μB/f.u.



The calculation returns the following energy relative to the elements, uncorrected values, one per record and in order: 0.5381, -1.0789, 0.5569, 1.0701, 0.3614, -1.1321 eV/atom.